# 1
Computed, not measured: a relaxed structure of GdHoAlSn at the PBE level of DFT.

abc: 5.2428 5.2428 5.2428
angles: 60.00 60.00 60.00
Last column: nearest neighbours and their distance in Å.
Fractional positions:
Ho  0.2500  0.2500  0.2500  4 Sn 3.21, 4 Al 3.21
Al  0.5000  0.5000  0.5000  4 Ho 3.21, 4 Gd 3.21
Gd  0.7500  0.7500  0.7500  4 Sn 3.21, 4 Al 3.21
Sn  0.0000  0.0000  0.0000  4 Gd 3.21, 4 Ho 3.21

* density of states at the Fermi level: 2.6 states/eV/f.u.
* E: -7.06 eV per atom
* total magnetization: 6.9 Bohr magnetons per cell

***

# 2
Computed, not measured: a relaxed structure of TlSbO2 at the PBE level of DFT.

abc: 4.2639 5.9750 13.3645
angles: 90.00 90.00 90.00
Last column: nearest neighbours and their distance in Å.
Fractional positions:
Tl  0.7500  0.0618  0.1264  4 O 2.59-2.81
O  0.2500  0.4832  0.8194  2 Sb 2.16
Tl  0.2500  0.4382  0.6264  4 O 2.59-2.81
Sb  0.7500  0.9515  0.6572  4 O 2.03-2.16
O  0.7500  0.5168  0.1806  2 Sb 2.16
Sb  0.2500  0.5485  0.1572  4 O 2.03-2.16
Tl  0.7500  0.5618  0.3736  4 O 2.59-2.81
O  0.2500  0.9832  0.6806  2 Sb 2.16
Tl  0.2500  0.9382  0.8736  4 O 2.59-2.81
Sb  0.2500  0.0485  0.3428  4 O 2.03-2.16
O  0.7500  0.0168  0.3194  2 Sb 2.16
O  0.2500  0.2274  0.2135  2 Sb 2.03-2.06
O  0.7500  0.7726  0.7865  2 Sb 2.03-2.06
O  0.2500  0.7274  0.2865  2 Sb 2.03-2.06
Sb  0.7500  0.4515  0.8428  4 O 2.03-2.16
O  0.7500  0.2726  0.7135  2 Sb 2.03-2.06

* ΔE to the lowest computed polymorph: 65 meV per atom
* density of states at the Fermi level: 0.0 states/eV/f.u.
* energy relative to the elements, uncorrected: -1.004 eV per atom
* total magnetization: 0.0 Bohr magnetons per cell

***

# 3
Computed, not measured: a relaxed structure of Re2Hg at the PBE level of DFT.

abc: 6.5149 6.5149 4.2182
angles: 90.00 90.00 143.54
Last column: nearest neighbours and their distance in Å.
Fractional positions:
Re  0.6248  0.3752  0.7500  4 Re 2.57-2.61
Re  0.7492  0.2508  0.2500  4 Re 2.57-2.61
Hg  0.0747  0.9253  0.2500  2 Hg 2.80, 8 Re 2.97-3.03
Hg  0.9253  0.0747  0.7500  2 Hg 2.80, 8 Re 2.97-3.03
Re  0.2508  0.7492  0.7500  4 Re 2.57-2.61
Re  0.3752  0.6248  0.2500  4 Re 2.57-2.61

* ΔE to the lowest computed polymorph: 209 meV per atom
* density of states at the Fermi level: 1.4 states/eV/f.u.
* total magnetization: 0.0 Bohr magnetons per cell

***

# 4
Computed, not measured: a relaxed structure of PrTmLuAg at the PBE level of DFT.

abc: 5.3976 5.3976 5.3976
angles: 60.00 60.00 60.00
Last column: nearest neighbours and their distance in Å.
Fractional positions:
Ag  0.2500  0.2500  0.2500  4 Pr 3.31, 4 Tm 3.31
Tm  0.0000  0.0000  0.0000  4 Lu 3.31, 4 Ag 3.31
Lu  0.7500  0.7500  0.7500  4 Tm 3.31, 4 Pr 3.31
Pr  0.5000  0.5000  0.5000  4 Lu 3.31, 4 Ag 3.31

* density of states at the Fermi level: 3.5 states/eV/f.u.
* E: -4.10 eV per atom
* total magnetization: 0.0 Bohr magnetons per cell

***

# 5
Computed, not measured: a relaxed structure of Ga6Br at the PBE level of DFT.

abc: 6.2651 6.2651 6.2651
angles: 109.47 109.47 109.47
Last column: nearest neighbours and their distance in Å.
Fractional positions:
Ga  0.2500  0.7500  0.5000  4 Ga 2.56
Ga  0.7500  0.2500  0.5000  4 Ga 2.56
Ga  0.7500  0.5000  0.2500  4 Ga 2.56
Br  0.0000  0.0000  0.0000  24 Ga 4.04
Ga  0.2500  0.5000  0.7500  4 Ga 2.56
Ga  0.5000  0.7500  0.2500  4 Ga 2.56
Ga  0.5000  0.2500  0.7500  4 Ga 2.56

* density of states at the Fermi level: 7.1 states/eV/f.u.
* energy relative to the elements, uncorrected: 0.228 eV per atom
* total magnetization: 0.0 Bohr magnetons per cell

***

# 6
Computed, not measured: a relaxed structure of CdSi2Se at the PBE level of DFT.

abc: 5.5218 5.5218 5.5218
angles: 143.88 127.87 65.06
Last column: nearest neighbours and their distance in Å.
Fractional positions:
Cd  0.7500  0.2500  0.5000  4 Se 2.97, 8 Si 3.05-3.23
Se  0.2500  0.7500  0.5000  4 Si 2.73, 4 Cd 2.97
Si  0.4788  0.4788  0.0000  2 Se 2.73, 4 Si 3.00, 2 Cd 3.05
Si  0.0212  0.0212  0.0000  2 Se 2.73, 4 Si 3.00, 2 Cd 3.05

* ΔE to the lowest computed polymorph: 408 meV per atom
* density of states at the Fermi level: 1.7 states/eV/f.u.
* energy relative to the elements, uncorrected: 0.439 eV per atom
* total magnetization: 0.0 Bohr magnetons per cell

***

# 7
Computed, not measured: a relaxed structure of CsRb2CuHg at the PBE level of DFT.

abc: 6.8396 6.8396 5.3953
angles: 90.00 90.00 90.00
Last column: nearest neighbours and their distance in Å.
Fractional positions:
Cs  0.5000  0.5000  0.5000  8 Rb 4.36, 4 Hg 4.84
Rb  0.0000  0.5000  0.0000  2 Cu 3.42
Rb  0.5000  0.0000  0.0000  2 Cu 3.42
Hg  0.0000  0.0000  0.5000  2 Cu 2.70
Cu  0.0000  0.0000  0.0000  2 Hg 2.70

* density of states at the Fermi level: 2.8 states/eV/f.u.
* E: -1.30 eV per atom
* total magnetization: 0.0 Bohr magnetons per cell

***

# 8
Computed, not measured: a relaxed structure of Ba8CuAu2 at the PBE level of DFT.

abc: 7.9675 8.7926 8.7926
angles: 71.10 75.51 75.51
Last column: nearest neighbours and their distance in Å.
Fractional positions:
Ba  0.2510  0.0622  0.6440  1 Cu 3.23, 2 Au 3.37-3.46
Ba  0.7647  0.4222  0.4222  2 Au 3.31-3.70
Ba  0.2510  0.6440  0.0622  1 Cu 3.23, 2 Au 3.37-3.46
Ba  0.2353  0.5778  0.5778  2 Au 3.31-3.70
Ba  0.2562  0.1338  0.1338  1 Cu 3.20, 1 Au 3.38
Ba  0.7490  0.3560  0.9378  1 Cu 3.23, 2 Au 3.37-3.46
Cu  0.0000  0.0000  0.0000  6 Ba 3.20-3.23
Au  0.5407  0.6907  0.6907  7 Ba 3.31-3.70
Ba  0.7438  0.8662  0.8662  1 Cu 3.20, 1 Au 3.38
Au  0.4593  0.3093  0.3093  7 Ba 3.31-3.70
Ba  0.7490  0.9378  0.3560  1 Cu 3.23, 2 Au 3.37-3.46

* density of states at the Fermi level: 12.0 states/eV/f.u.
* E: -2.62 eV per atom
* total magnetization: 0.0 Bohr magnetons per cell

***

# 9
Computed, not measured: a relaxed structure of NaOs2N at the PBE level of DFT.

abc: 4.9866 4.9866 7.1432
angles: 69.57 69.57 90.00
Last column: nearest neighbours and their distance in Å.
Fractional positions:
Os  0.3750  0.1250  0.2500  2 N 1.99
Na  0.0000  0.0000  0.0000  8 Os 3.19, 4 N 3.53
Os  0.3750  0.6250  0.7500  2 N 1.99
Na  0.7500  0.2500  0.5000  8 Os 3.19, 4 N 3.53
N  0.5000  0.5000  0.0000  4 Os 1.99
Os  0.8750  0.6250  0.7500  2 N 1.99
Os  0.3750  0.6250  0.2500  2 N 1.99
N  0.2500  0.7500  0.5000  4 Os 1.99

* density of states at the Fermi level: 4.4 states/eV/f.u.
* energy relative to the elements, uncorrected: 1.093 eV per atom
* total magnetization: 0.2 Bohr magnetons per cell

***

# 10
Computed, not measured: a relaxed structure of ZnCrCu2H at the PBE level of DFT.

abc: 3.8552 3.8552 3.7170
angles: 90.00 90.00 90.00
Last column: nearest neighbours and their distance in Å.
Fractional positions:
Zn  0.5000  0.5000  0.5000  8 Cu 2.68, 4 Cr 2.73
H  0.0000  0.0000  0.0000  2 Cr 1.86, 4 Cu 1.93
Cu  0.0000  0.5000  0.0000  2 H 1.93
Cu  0.5000  0.0000  0.0000  2 H 1.93
Cr  0.0000  0.0000  0.5000  2 H 1.86

* density of states at the Fermi level: 2.0 states/eV/f.u.
* E: -4.35 eV per atom
* total magnetization: 3.1 Bohr magnetons per cell